one.
The following is a PBE calculation of a relaxed HfCo2Au crystal, from the Alexandria database.

Cell lengths 3.995, 3.995, 3.615 Å; angles 90.00, 90.00, 90.00 degrees
Sites, in units of the cell vectors:
Hf (0.000, 0.000, 0.000)
Co (0.000, 0.500, 0.500)
Co (0.500, 0.000, 0.500)
Au (0.500, 0.500, 0.000)

Results
size of the total moment = 0.82 μB/f.u.

two.
The following is a PBE calculation of a relaxed HfCo2Au crystal, from the Alexandria database.

Cell lengths 9.299, 9.299, 9.299 Å; angles 155.87, 155.87, 34.39 degrees
Sites, in units of the cell vectors:
Hf (0.000, 0.000, 0.000)
Hf (0.750, 0.250, 0.500)
Co (0.190, 0.625, 0.065)
Co (0.375, 0.440, 0.565)
Co (0.560, 0.125, 0.935)
Co (0.875, 0.810, 0.435)
Au (0.250, 0.750, 0.500)
Au (0.500, 0.500, 0.000)

Results
size of the total moment = 1.78 μB/f.u.

three.
The following is a PBE calculation of a relaxed HfCo2Au crystal, from the Alexandria database.

Cell lengths 4.351, 4.351, 4.351 Å; angles 60.00, 60.00, 60.00 degrees
Sites, in units of the cell vectors:
Hf (0.000, 0.000, 0.000)
Co (0.250, 0.250, 0.250)
Co (0.750, 0.750, 0.750)
Au (0.500, 0.500, 0.500)

Results
size of the total moment = 0.69 μB/f.u.

The relative energies come out as one 0.0; two 54.4; three 12.6, with values in kJ/mol of atoms.

one.
The following is a PBE calculation of a relaxed Hf6CoAu2 crystal, from the Alexandria database.

Cell lengths 7.836, 7.836, 3.350 Å; angles 90.00, 90.00, 120.00 degrees
Sites, in units of the cell vectors:
Hf (0.000, 0.241, 0.000)
Hf (0.000, 0.601, 0.500)
Hf (0.241, 0.000, 0.000)
Hf (0.399, 0.399, 0.500)
Hf (0.601, 0.000, 0.500)
Hf (0.759, 0.759, 0.000)
Co (0.000, 0.000, 0.500)
Au (0.333, 0.667, 0.000)
Au (0.667, 0.333, 0.000)

Results
size of the total moment = 0.00 μB/f.u.

two.
The following is a PBE calculation of a relaxed Hf6CoAu2 crystal, from the Alexandria database.

Cell lengths 5.508, 7.229, 10.515 Å; angles 90.00, 119.25, 90.00 degrees
Sites, in units of the cell vectors:
Hf (0.101, 0.047, 0.249)
Hf (0.101, 0.453, 0.749)
Hf (0.175, 0.713, 0.043)
Hf (0.175, 0.787, 0.543)
Hf (0.380, 0.159, 0.030)
Hf (0.380, 0.341, 0.530)
Hf (0.620, 0.659, 0.470)
Hf (0.620, 0.841, 0.970)
Hf (0.825, 0.213, 0.457)
Hf (0.825, 0.287, 0.957)
Hf (0.899, 0.547, 0.251)
Hf (0.899, 0.953, 0.751)
Co (0.500, 0.000, 0.500)
Co (0.500, 0.500, 0.000)
Au (0.356, 0.098, 0.730)
Au (0.356, 0.402, 0.230)
Au (0.644, 0.598, 0.770)
Au (0.644, 0.902, 0.270)

Results
size of the total moment = 0.00 μB/f.u.

The relative energies come out as one 0.0; two 13.3, with values in kJ/mol of atoms.

one.
The following is a PBE calculation of a relaxed HfCoAu3 crystal, from the Alexandria database.

Cell lengths 5.171, 5.171, 5.171 Å; angles 90.00, 90.00, 90.00 degrees
Sites, in units of the cell vectors:
Hf (0.000, 0.000, 0.000)
Co (0.500, 0.500, 0.500)
Au (0.000, 0.000, 0.500)
Au (0.000, 0.500, 0.000)
Au (0.500, 0.000, 0.000)

Results
size of the total moment = 2.36 μB/f.u.

two.
The following is a PBE calculation of a relaxed HfCoAu3 crystal, from the Alexandria database.

Cell lengths 4.685, 4.685, 4.685 Å; angles 90.00, 90.00, 90.00 degrees
Sites, in units of the cell vectors:
Hf (0.000, 0.000, 0.000)
Co (0.500, 0.500, 0.500)
Au (0.000, 0.500, 0.500)
Au (0.500, 0.000, 0.500)
Au (0.500, 0.500, 0.000)

Results
size of the total moment = 0.00 μB/f.u.

The relative energies come out as one 42.3; two 0.0, with values in kJ/mol of atoms.

one.
The following is a PBE calculation of a relaxed CoHg3Au crystal, from the Alexandria database.

Cell lengths 5.345, 5.345, 5.345 Å; angles 90.00, 90.00, 90.00 degrees
Sites, in units of the cell vectors:
Co (0.000, 0.000, 0.000)
Hg (0.000, 0.500, 0.500)
Hg (0.500, 0.000, 0.500)
Hg (0.500, 0.500, 0.000)
Au (0.500, 0.500, 0.500)

Results
size of the total moment = 2.50 μB/f.u.

two.
The following is a PBE calculation of a relaxed CoHg3Au crystal, from the Alexandria database.

Cell lengths 4.994, 4.994, 4.994 Å; angles 90.00, 90.00, 90.00 degrees
Sites, in units of the cell vectors:
Co (0.000, 0.000, 0.000)
Hg (0.000, 0.000, 0.500)
Hg (0.000, 0.500, 0.000)
Hg (0.500, 0.000, 0.000)
Au (0.500, 0.500, 0.500)

Results
size of the total moment = 1.12 μB/f.u.

The relative energies come out as one 28.6; two 0.0, with values in kJ/mol of atoms.

one.
The following is a PBE calculation of a relaxed CoHg2Au crystal, from the Alexandria database.

Cell lengths 9.695, 9.695, 9.695 Å; angles 18.05, 18.05, 18.05 degrees
Sites, in units of the cell vectors:
Co (0.000, 0.000, 0.000)
Hg (0.509, 0.509, 0.509)
Hg (0.741, 0.741, 0.741)
Au (0.264, 0.264, 0.264)

Results
size of the total moment = 1.71 μB/f.u.

two.
The following is a PBE calculation of a relaxed CoHg2Au crystal, from the Alexandria database.

Cell lengths 5.019, 5.019, 3.032 Å; angles 90.58, 90.58, 106.85 degrees
Sites, in units of the cell vectors:
Co (0.000, 0.000, 0.000)
Hg (0.000, 0.500, 0.500)
Hg (0.500, 0.000, 0.500)
Au (0.500, 0.500, 0.000)

Results
size of the total moment = 1.44 μB/f.u.

The relative energies come out as one 0.0; two 4.4, with values in kJ/mol of atoms.

one.
The following is a PBE calculation of a relaxed La2CoHgAu crystal, from the Alexandria database.

Cell lengths 5.194, 5.194, 4.962 Å; angles 90.00, 90.00, 90.00 degrees
Sites, in units of the cell vectors:
La (0.000, 0.500, 0.000)
La (0.500, 0.000, 0.000)
Co (0.000, 0.000, 0.000)
Hg (0.000, 0.000, 0.500)
Au (0.500, 0.500, 0.500)

Results
size of the total moment = 0.00 μB/f.u.

two.
The following is a PBE calculation of a relaxed La2CoHgAu crystal, from the Alexandria database.

Cell lengths 5.155, 5.155, 4.998 Å; angles 90.00, 90.00, 90.00 degrees
Sites, in units of the cell vectors:
La (0.000, 0.500, 0.000)
La (0.500, 0.000, 0.000)
Co (0.000, 0.000, 0.000)
Hg (0.500, 0.500, 0.500)
Au (0.000, 0.000, 0.500)

Results
size of the total moment = 0.00 μB/f.u.

The relative energies come out as one 0.0; two 1.3, with values in kJ/mol of atoms.

one.
The following is a PBE calculation of a relaxed CoAu2I crystal, from the Alexandria database.

Cell lengths 4.867, 4.867, 4.867 Å; angles 60.00, 60.00, 60.00 degrees
Sites, in units of the cell vectors:
Co (0.000, 0.000, 0.000)
Au (0.250, 0.250, 0.250)
Au (0.750, 0.750, 0.750)
I (0.500, 0.500, 0.500)

Results
size of the total moment = 1.88 μB/f.u.

two.
The following is a PBE calculation of a relaxed CoAu2I crystal, from the Alexandria database.

Cell lengths 6.331, 6.331, 6.331 Å; angles 99.61, 99.61, 131.76 degrees
Sites, in units of the cell vectors:
Co (0.000, 0.000, 0.000)
Co (0.750, 0.250, 0.500)
Au (0.064, 0.125, 0.439)
Au (0.375, 0.936, 0.061)
Au (0.686, 0.625, 0.561)
Au (0.875, 0.314, 0.939)
I (0.250, 0.750, 0.500)
I (0.500, 0.500, 0.000)

Results
size of the total moment = 1.91 μB/f.u.

The relative energies come out as one 20.8; two 0.0, with values in kJ/mol of atoms.

one.
The following is a PBE calculation of a relaxed CoAuI2N crystal, from the Alexandria database.

Cell lengths 5.963, 5.963, 3.789 Å; angles 90.00, 90.00, 90.00 degrees
Sites, in units of the cell vectors:
Co (0.000, 0.000, 0.000)
Au (0.500, 0.500, 0.500)
I (0.000, 0.500, 0.500)
I (0.500, 0.000, 0.500)
N (0.500, 0.500, 0.000)

Results
size of the total moment = 2.04 μB/f.u.

two.
The following is a PBE calculation of a relaxed CoAuI2N crystal, from the Alexandria database.

Cell lengths 5.520, 5.520, 3.452 Å; angles 90.00, 90.00, 90.00 degrees
Sites, in units of the cell vectors:
Co (0.000, 0.000, 0.000)
Au (0.500, 0.500, 0.500)
I (0.000, 0.500, 0.000)
I (0.500, 0.000, 0.000)
N (0.000, 0.000, 0.500)

Results
size of the total moment = 0.00 μB/f.u.

The relative energies come out as one 74.9; two 0.0, with values in kJ/mol of atoms.